# 1
First-principles (GGA-PBEsol) data for LaSc3Pd after structural relaxation, as listed in Alexandria via LeMat-Bulk.

Values from the calculation:
formation enthalpy at 0 K: -0.171 eV/atom
crystal system: cubic
DOS(E_F): 1.252 states/eV per atom
energy relative to the lowest polymorph listed for this composition: 0.000 eV/f.u.

Unit cell a=5.093 b=5.093 c=5.093 alpha=90.00 beta=90.00 gamma=90.00
Space group Pm-3m (No. 221)
Asymmetric unit:
La 0.000 0.000 0.000
Sc 0.000 0.500 0.500
Pd 0.500 0.500 0.500

---

# 2
First-principles (GGA-PBEsol) data for MgSc2Ni after structural relaxation, as listed in Alexandria via LeMat-Bulk.

Values from the calculation:
formation enthalpy at 0 K: 0.077 eV/atom
crystal system: trigonal
DOS(E_F): 0.908 states/eV per atom

Unit cell a=3.2066 b=3.2066 c=28.8256 alpha=90.00 beta=90.00 gamma=120.00
Space group R-3m (No. 166, hexagonal axes)
Asymmetric unit:
Mg 0.0000 0.0000 0.0000
Sc 0.0000 0.0000 0.1071
Ni 0.0000 0.0000 0.5000

---

# 3
First-principles (GGA-PBEsol) data for Fe2AsAu after structural relaxation, as listed in Alexandria via LeMat-Bulk.

Values from the calculation:
formation enthalpy at 0 K: 0.182 eV/atom
crystal system: monoclinic
DOS(E_F): 0.808 states/eV per atom

Unit cell a=8.269 b=2.961 c=4.711 alpha=90.00 beta=98.52 gamma=90.00
Space group Cm (No. 8)
Asymmetric unit:
Fe 0.000 0.000 0.000
Fe 0.223 0.500 0.207
As 0.256 0.000 0.814
Au 0.472 0.000 0.475

---

# 4
First-principles (GGA-PBEsol) data for HfN2 after structural relaxation, as listed in Alexandria via LeMat-Bulk.

Values from the calculation:
formation energy (no corrections): -0.95 eV per atom
crystal system: hexagonal

Unit cell a=3.2244 b=3.2244 c=7.5399 alpha=90.00 beta=90.00 gamma=120.00
Space group P6_3/mmc (No. 194)
Asymmetric unit:
Hf 0.3333 0.6667 0.2500
N 0.0000 0.0000 0.0940